First-principles (meta-GGA SCAN) data for a crystal of AlMo2Cl relaxed with PBEsol, as listed in Alexandria.

a b c (Å): 4.0613 4.0613 4.7094
angles (deg): 115.54 115.54 90.00
Last column: nearest neighbours and their distance in Å.
Positions (direct):
Al 0.5000 0.5000 0.0000  4 Cl 2.76, 8 Mo 2.76-2.87
Mo 0.0000 0.0000 0.0000  4 Cl 2.76, 4 Mo 2.76, 4 Al 2.87
Mo 0.7500 0.2500 0.5000  4 Mo 2.76, 4 Al 2.76, 4 Cl 2.87
Cl 0.2500 0.7500 0.5000  8 Mo 2.76-2.87, 4 Al 2.76

Output
N(E_F) ... 1.09 states/eV per cell
Formation energy without anion corrections ... 628 meV/atom
Energy above the most stable polymorph in this dataset ... 1.26 eV per formula unit
Symmetry ... I-4m2 (119)
E ... -83.0 eV for the cell shown
Magnetic moment ... 0.00 μB/f.u.

***

First-principles (meta-GGA SCAN) data for a crystal of SrCa2Be relaxed with PBEsol, as listed in Alexandria.

a b c (Å): 3.7046 6.1584 6.7734
angles (deg): 115.39 103.34 95.40
Last column: nearest neighbours and their distance in Å.
Positions (direct):
Be 0.5000 0.0000 0.0000  4 Sr 3.44-3.74, 4 Ca 3.47, 2 Be 3.70
Ca 0.0000 0.0000 0.5000  6 Ca 3.44-3.74, 2 Be 3.47, 2 Sr 3.47
Ca 0.5000 0.5000 0.5000  6 Ca 3.44-3.74, 2 Sr 3.47, 2 Be 3.47
Sr 0.0000 0.5000 0.0000  4 Be 3.44-3.74, 4 Ca 3.47, 2 Sr 3.70

Output
N(E_F) ... 3.00 states/eV per cell
Symmetry ... C2/m (12)
E ... -43.7 eV for the cell shown
Magnetic moment ... 0.17 μB/f.u.

***

First-principles (meta-GGA SCAN) data for a crystal of K2CuRu relaxed with PBEsol, as listed in Alexandria.

a b c (Å): 5.3086 5.3086 5.3086
angles (deg): 60.00 60.00 60.00
Last column: nearest neighbours and their distance in Å.
Positions (direct):
K 0.7500 0.7500 0.7500  4 Ru 3.25, 4 Cu 3.25
K 0.2500 0.2500 0.2500  4 Cu 3.25, 4 Ru 3.25
Ru 0.5000 0.5000 0.5000  8 K 3.25
Cu 0.0000 0.0000 0.0000  8 K 3.25

Output
N(E_F) ... 4.51 states/eV per cell
Energy above the most stable polymorph in this dataset ... 2.71 eV per formula unit
Symmetry ... Fm-3m (225)
E ... -61.0 eV for the cell shown
Magnetic moment ... 2.95 μB/f.u.

***

First-principles (meta-GGA SCAN) data for a crystal of YTi3Mo relaxed with PBEsol, as listed in Alexandria.

a b c (Å): 4.5558 4.5558 4.5558
angles (deg): 90.00 90.00 90.00
Last column: nearest neighbours and their distance in Å.
Positions (direct):
Ti 0.5000 0.0000 0.0000  2 Y 2.28
Ti 0.0000 0.5000 0.0000  2 Y 2.28
Ti 0.0000 0.0000 0.5000  2 Y 2.28
Y 0.0000 0.0000 0.0000  6 Ti 2.28
Mo 0.5000 0.5000 0.5000  12 Ti 3.22

Output
N(E_F) ... 5.23 states/eV per cell
Symmetry ... Pm-3m (221)
E ... -101.7 eV for the cell shown
Magnetic moment ... 0.00 μB/f.u.

***

First-principles (meta-GGA SCAN) data for a crystal of CdAgNF2 relaxed with PBEsol, as listed in Alexandria.

a b c (Å): 4.0238 4.2169 4.2169
angles (deg): 90.00 90.00 90.00
Last column: nearest neighbours and their distance in Å.
Positions (direct):
F 0.0000 0.0000 0.5000  2 Ag 2.11
F 0.0000 0.5000 0.0000  2 Ag 2.11
Ag 0.0000 0.0000 0.0000  2 N 2.01, 4 F 2.11
N 0.5000 0.0000 0.0000  2 Ag 2.01
Cd 0.5000 0.5000 0.5000  8 F 2.91, 4 N 2.98

Output
N(E_F) ... 1.72 states/eV per cell
Formation energy without anion corrections ... -130 meV/atom
Symmetry ... P4/mmm (123)
E ... -78.8 eV for the cell shown
Magnetic moment ... 0.77 μB/f.u.

***

First-principles (meta-GGA SCAN) data for a crystal of Cd2ReOF relaxed with PBEsol, as listed in Alexandria.

a b c (Å): 3.6496 4.6540 4.6540
angles (deg): 90.00 90.00 90.00
Last column: nearest neighbours and their distance in Å.
Positions (direct):
Cd 0.0000 0.5000 0.0000  2 O 2.33
Cd 0.0000 0.0000 0.5000  2 O 2.33
O 0.0000 0.0000 0.0000  2 F 1.82
F 0.5000 0.0000 0.0000  2 O 1.82
Re 0.5000 0.5000 0.5000  8 Cd 2.96, 4 F 3.29

Output
N(E_F) ... 2.31 states/eV per cell
Formation energy without anion corrections ... 699 meV/atom
Symmetry ... P4/mmm (123)
E ... -138.2 eV for the cell shown
Magnetic moment ... 2.97 μB/f.u.